[1]
Entry from the Alexandria database: an optimized crystal structure of ScAgGeAu (PBE).

Cell: 4.7111 4.7111 4.7111 Å, 60.00 60.00 60.00°
Last column: nearest neighbours and their distance in Å.
Sites, in units of the cell vectors:
Ag: 0.2500 0.2500 0.2500  4 Ge 2.88, 4 Au 2.88
Au: 0.5000 0.5000 0.5000  4 Sc 2.88, 4 Ag 2.88
Ge: 0.0000 0.0000 0.0000  4 Sc 2.88, 4 Ag 2.88
Sc: 0.7500 0.7500 0.7500  4 Ge 2.88, 4 Au 2.88

DOS at the Fermi energy: 0.608 states/eV/atom
Space-group type: F-43m, No. 216
E: -18.66 eV/f.u.
Crystal system: cubic
Energy of formation: -0.397 eV per atom

***

[2]
Entry from the Alexandria database: an optimized crystal structure of TaHgRu2 (PBE).

Cell: 9.5652 9.5652 9.5652 Å, 17.21 17.21 17.21°
Last column: nearest neighbours and their distance in Å.
Sites, in units of the cell vectors:
Hg: 0.7465 0.7465 0.7465  6 Hg 2.86, 3 Ru 2.96, 3 Ta 3.10
Ru: 0.9929 0.9929 0.9929  9 Ru 2.61-2.86
Ta: 0.5059 0.5059 0.5059  3 Ru 2.85, 6 Ta 2.86, 3 Hg 3.10
Ru: 0.2547 0.2547 0.2547  9 Ru 2.61-2.86, 3 Ta 2.85

DOS at the Fermi energy: 0.639 states/eV/atom
Space-group type: R3m, No. 160
E: -29.46 eV/f.u.
Crystal system: trigonal
Energy of formation: 0.311 eV per atom

***

[3]
Entry from the Alexandria database: an optimized crystal structure of LiAs2Pd8 (PBE).

Cell: 4.8249 5.6235 7.2741 Å, 109.97 106.12 97.93°
Last column: nearest neighbours and their distance in Å.
Sites, in units of the cell vectors:
As: 0.4338 0.2853 0.5909  7 Pd 2.48-2.56
Pd: 0.7854 0.2803 0.9099  2 As 2.48, 4 Pd 2.64-2.77
Li: 0.1048 0.9057 0.9090  10 Pd 2.60-2.86
Pd: 0.3045 0.4984 0.9084  2 As 2.50, 1 Li 2.60, 2 Pd 2.64-2.77
Pd: 0.2936 0.3403 0.2500  2 As 2.52-2.56, 1 Li 2.64, 1 Pd 2.78
As: 0.7490 0.6050 0.2273  7 Pd 2.48-2.56
Pd: 0.7220 0.0026 0.1456  1 As 2.51, 1 Pd 2.73
Pd: 0.2751 0.8486 0.2931  2 As 2.50-2.54, 1 Pd 2.78
Pd: 0.8925 0.4663 0.5244  2 As 2.50-2.55, 1 Pd 2.78
Pd: 0.4870 0.7661 0.6729  1 As 2.52, 2 Pd 2.73-2.82
Pd: 0.9522 0.0014 0.5684  2 As 2.52-2.56, 1 Li 2.64, 1 Pd 2.78

DOS at the Fermi energy: 0.541 states/eV/atom
Space-group type: P1, No. 1
Relative energy among the computed polymorphs: 0.000 eV per atom
E: -56.34 eV/f.u.
Crystal system: triclinic
Energy of formation: -0.326 eV per atom

***

[4]
Entry from the Alexandria database: an optimized crystal structure of Nd3TlN (PBE).

Cell: 5.0411 5.0411 5.0411 Å, 90.00 90.00 90.00°
Last column: nearest neighbours and their distance in Å.
Sites, in units of the cell vectors:
N: 0.0000 0.0000 0.0000  6 Nd 2.52
Nd: 0.0000 0.5000 0.0000  2 N 2.52
Tl: 0.5000 0.5000 0.5000  12 Nd 3.56
Nd: 0.0000 0.0000 0.5000  2 N 2.52
Nd: 0.5000 0.0000 0.0000  2 N 2.52

DOS at the Fermi energy: 0.500 states/eV/atom
Space-group type: Pm-3m, No. 221
Relative energy among the computed polymorphs: 0.000 eV per atom
E: -29.06 eV/f.u.
Formation energy without anion corrections: -0.81 eV per atom
Crystal system: cubic

***

- What is the formula in the second record?
  TaHgRu2

***

- DOS at the Fermi energy of number 2 (TaHgRu2)?
  0.639 states/eV/atom

***

- What is the formula in the fourth record?
  Nd3TlN

***

- Among the records above, which one has the lowest E?
  LiAs2Pd8